Ho4AlAg: optimized geometry, PBE-GGA.

Computed properties:
VASP energy: -4.166 eV per atom
Energy of formation: -15 meV per atom
E above lowest polymorph: 0.186 eV/atom

Lattice parameters (Å, degrees): 11.120 11.120 6.350 90.00 90.00 153.27
Fractional positions:
Ho1 0.064 0.936 0.500
Ho2 0.193 0.807 0.804
Ho3 0.215 0.785 0.319
Ho4 0.375 0.625 0.579
Ho5 0.625 0.375 0.079
Ho6 0.785 0.215 0.819
Ho7 0.807 0.193 0.304
Ho8 0.936 0.064 0.000
Al1 0.340 0.660 0.057
Al2 0.660 0.340 0.557
Ag1 0.070 0.930 0.006
Ag2 0.930 0.070 0.506